# 1
CoPt (PBE-GGA, optimized geometry); SG = Pmmn (59); calculated formation energy = -0.06 eV per formula unit; raw total energy = -26.41 eV/cell; N(E_F) = 2.10 states/eV/f.u.
1.0
2.685 0.000 0.289
0.000 4.382 0.000
-0.494 0.000 4.591
Pt Co
2 2
Direct
0.250 0.750 0.105 Pt
0.750 0.250 0.895 Pt
0.250 0.250 0.413 Co
0.750 0.750 0.587 Co

=====

# 2
CoPt4 (PBE-GGA, optimized geometry); SG = R-3m (166); calculated formation energy = -0.20 eV per formula unit; raw total energy = -31.47 eV/cell; N(E_F) = 7.16 states/eV/f.u.
1.0
-1.477 1.705 -1.594
-0.884 -0.844 -2.477
-10.301 -3.558 3.348
Pt Co
4 1
Direct
0.798 0.798 0.605 Pt
0.202 0.202 0.395 Pt
0.395 0.395 0.816 Pt
0.605 0.605 0.184 Pt
0.000 0.000 0.000 Co

=====

# 3
Co5Pt4 (PBE-GGA, optimized geometry); SG = I4/m (87); calculated formation energy = 3.33 eV per formula unit; raw total energy = -56.37 eV/cell; N(E_F) = 10.39 states/eV/f.u.
1.0
-3.954 -1.022 1.365
-1.981 -5.170 -2.816
0.330 -3.724 4.960
Pt Co
4 5
Direct
0.749 0.904 0.598 Pt
0.251 0.096 0.402 Pt
0.347 0.402 0.904 Pt
0.653 0.598 0.096 Pt
0.500 0.000 0.000 Co
0.378 0.684 0.560 Co
0.938 0.440 0.684 Co
0.062 0.560 0.316 Co
0.622 0.316 0.440 Co

=====

# 4
CoPt (PBE-GGA, optimized geometry); SG = P4/m (83); calculated formation energy = 0.22 eV per formula unit; raw total energy = -103.38 eV/cell; N(E_F) = 1.70 states/eV/f.u.
1.0
7.577 0.000 0.000
0.000 7.577 0.000
0.000 0.000 4.072
Co Pt
8 8
Direct
0.227 0.047 0.000 Co
0.105 0.212 0.500 Co
0.788 0.105 0.500 Co
0.773 0.953 0.000 Co
0.212 0.895 0.500 Co
0.953 0.227 0.000 Co
0.895 0.788 0.500 Co
0.047 0.773 0.000 Co
0.369 0.722 0.000 Pt
0.569 0.836 0.500 Pt
0.836 0.431 0.500 Pt
0.164 0.569 0.500 Pt
0.278 0.369 0.000 Pt
0.631 0.278 0.000 Pt
0.431 0.164 0.500 Pt
0.722 0.631 0.000 Pt

=====

# 5
Co3Pt (PBE-GGA, optimized geometry); SG = Pmm2 (25); calculated formation energy = -0.19 eV per formula unit; raw total energy = -27.55 eV/cell; N(E_F) = 3.71 states/eV/f.u.
1.0
2.633 0.000 0.000
0.000 4.154 0.000
0.000 0.000 4.495
Pt Co
1 3
Direct
0.000 0.500 0.332 Pt
0.000 0.000 0.986 Co
0.500 0.500 0.832 Co
0.500 0.000 0.516 Co

=====

# 6
CoPt (PBE-GGA, optimized geometry); SG = C2/m (12); calculated formation energy = -0.14 eV per formula unit; raw total energy = -26.58 eV/cell; N(E_F) = 1.94 states/eV/f.u.
1.0
4.995 0.007 -0.001
2.412 4.663 -0.002
-3.145 -3.499 2.330
Co Pt
2 2
Direct
0.081 0.740 0.341 Co
0.002 0.010 0.992 Co
0.478 0.493 0.985 Pt
0.606 0.257 0.348 Pt

=====

# 7
CoPt4 (PBE-GGA, optimized geometry); SG = I4/m (87); calculated formation energy = -0.28 eV per formula unit; raw total energy = -31.55 eV/cell; N(E_F) = 7.22 states/eV/f.u.
1.0
-0.227 2.878 5.460
-5.667 2.068 -1.325
-3.720 0.873 2.879
Co Pt
1 4
Direct
0.000 0.000 0.000 Co
0.203 0.397 0.000 Pt
0.603 0.203 0.000 Pt
0.797 0.603 0.000 Pt
0.397 0.797 0.000 Pt

=====

# 8
Co4Pt (PBE-GGA, optimized geometry); SG = I4/mmm (139); calculated formation energy = 1.48 eV per formula unit; raw total energy = -32.98 eV/cell; N(E_F) = 3.63 states/eV/f.u.
1.0
-2.501 2.340 0.744
-2.030 -2.569 1.250
4.320 0.800 3.750
Pt Co
1 4
Direct
0.500 0.000 0.500 Pt
0.895 0.395 0.290 Co
0.750 0.750 0.000 Co
0.250 0.250 0.000 Co
0.105 0.605 0.710 Co

=====

# 9
Co12Pt17 (PBE-GGA, optimized geometry); SG = I-43m (217); calculated formation energy = -1.44 eV per formula unit; raw total energy = -189.40 eV/cell; N(E_F) = 30.53 states/eV/f.u.
1.0
8.080 0.000 0.000
-2.693 7.618 0.000
-2.693 -3.809 6.597
Pt Co
17 12
Direct
0.660 0.660 0.660 Pt
0.292 0.683 0.683 Pt
0.609 0.317 0.000 Pt
0.317 0.000 0.609 Pt
0.000 0.609 0.317 Pt
0.000 0.000 0.340 Pt
0.317 0.609 0.000 Pt
0.683 0.292 0.683 Pt
0.683 0.683 0.292 Pt
0.708 0.391 0.391 Pt
0.391 0.708 0.391 Pt
0.000 0.340 0.000 Pt
0.609 0.000 0.317 Pt
0.340 0.000 0.000 Pt
0.000 0.000 0.000 Pt
0.000 0.317 0.609 Pt
0.391 0.391 0.708 Pt
0.362 0.362 0.178 Co
0.816 0.000 0.638 Co
0.822 0.184 0.184 Co
0.362 0.178 0.362 Co
0.638 0.816 0.000 Co
0.638 0.000 0.816 Co
0.184 0.822 0.184 Co
0.000 0.638 0.816 Co
0.178 0.362 0.362 Co
0.184 0.184 0.822 Co
0.000 0.816 0.638 Co
0.816 0.638 0.000 Co

=====

# 10
CoPt (PBE-GGA, optimized geometry); SG = Cmcm (63); calculated formation energy = -0.15 eV per formula unit; raw total energy = -26.60 eV/cell; N(E_F) = 1.75 states/eV/f.u.
1.0
-0.092 -2.683 0.188
4.869 -1.483 0.474
-0.305 0.295 4.058
Co Pt
2 2
Direct
0.565 0.871 0.250 Co
0.435 0.129 0.750 Co
0.831 0.339 0.250 Pt
0.169 0.661 0.750 Pt

=====

# 11
Co8Pt3 (PBE-GGA, optimized geometry); SG = C2/m (12); calculated formation energy = -0.67 eV per formula unit; raw total energy = -75.64 eV/cell; N(E_F) = 11.95 states/eV/f.u.
1.0
3.670 0.000 0.000
-1.835 4.007 -0.905
0.000 -0.483 9.381
Co Pt
8 3
Direct
0.642 0.285 0.453 Co
0.545 0.089 0.819 Co
0.727 0.455 0.089 Co
0.818 0.637 0.727 Co
0.182 0.363 0.273 Co
0.455 0.911 0.181 Co
0.358 0.715 0.547 Co
0.273 0.545 0.911 Co
0.093 0.186 0.642 Pt
0.000 0.000 0.000 Pt
0.907 0.814 0.358 Pt

=====

# 12
Co3Pt (PBE-GGA, optimized geometry); SG = C2/m (12); calculated formation energy = -0.16 eV per formula unit; raw total energy = -27.52 eV/cell; N(E_F) = 3.92 states/eV/f.u.
1.0
4.464 0.003 0.000
3.681 2.526 0.000
-8.987 -2.791 4.375
Co Pt
3 1
Direct
0.000 0.000 0.750 Co
0.026 0.026 0.521 Co
0.974 0.974 0.979 Co
0.000 0.000 0.250 Pt